# CuTc2OsF GGA-PBE relaxed
# formation energy from raw total energies	132.9	kJ/mol of atoms
# total magnetic moment	4.129	μB/f.u.
data_CuTc2OsF
_chemical_formula_sum 'Cu1 Tc2 Os1 F1'
_cell_length_a 4.7091
_cell_length_b 4.7091
_cell_length_c 4.7632
_cell_angle_alpha 90.00
_cell_angle_beta 90.00
_cell_angle_gamma 90.00
_symmetry_space_group_name_H-M 'P 4/m m m'
_symmetry_Int_Tables_number 123
_symmetry_space_group_name_Hall '-P 4 2'
loop_
_atom_site_label
_atom_site_type_symbol
_atom_site_fract_x
_atom_site_fract_y
_atom_site_fract_z
_atom_site_occupancy
Cu1 Cu 0.0000 0.0000 0.0000 1
Tc1 Tc 0.0000 0.5000 0.5000 1
Os1 Os 0.0000 0.0000 0.5000 1
F1 F 0.5000 0.5000 0.0000 1



# Hg2IrSe GGA-PBE relaxed
# formation energy from raw total energies	15.4	kJ/mol of atoms
# total magnetic moment	0.000	μB/f.u.
data_Hg2IrSe
_chemical_formula_sum 'Hg4 Ir2 Se2'
_cell_length_a 3.0082
_cell_length_b 4.8054
_cell_length_c 12.3573
_cell_angle_alpha 90.00
_cell_angle_beta 90.00
_cell_angle_gamma 90.00
_symmetry_space_group_name_H-M 'I m m 2'
_symmetry_Int_Tables_number 44
loop_
_symmetry_equiv_pos_as_xyz
'x,y,z'
'-x,-y,z'
'-x,y,z'
'x,-y,z'
'x+1/2,y+1/2,z+1/2'
'-x+1/2,-y+1/2,z+1/2'
'-x+1/2,y+1/2,z+1/2'
'x+1/2,-y+1/2,z+1/2'
loop_
_atom_site_label
_atom_site_type_symbol
_atom_site_fract_x
_atom_site_fract_y
_atom_site_fract_z
_atom_site_occupancy
Hg1 Hg 0.0000 0.0000 0.0000 1
Hg2 Hg 0.0000 0.5000 0.1740 1
Ir1 Ir 0.0000 0.5000 0.7019 1
Se1 Se 0.0000 0.0000 0.3594 1



# KBaTl GGA-PBE relaxed
# energy relative to the elements	-0.027	eV/atom
# ΔE to the lowest computed polymorph	59	kJ/mol of formula units
# total magnetic moment	0.005	μB/f.u.
data_KBaTl
_chemical_formula_sum 'K1 Ba1 Tl1'
_cell_length_a 6.1108
_cell_length_b 6.1108
_cell_length_c 4.0432
_cell_angle_alpha 90.00
_cell_angle_beta 90.00
_cell_angle_gamma 120.00
_symmetry_space_group_name_H-M 'P 3 m 1'
_symmetry_Int_Tables_number 156
loop_
_symmetry_equiv_pos_as_xyz
'x,y,z'
'-y,x-y,z'
'-x+y,-x,z'
'-y,-x,z'
'-x+y,y,z'
'x,x-y,z'
loop_
_atom_site_label
_atom_site_type_symbol
_atom_site_fract_x
_atom_site_fract_y
_atom_site_fract_z
_atom_site_occupancy
K1 K 0.0000 0.0000 0.0000 1
Ba1 Ba 0.3333 0.6667 0.5914 1
Tl1 Tl 0.6667 0.3333 0.1600 1



# Ti3CrMo GGA-PBE relaxed
# energy relative to the elements	1.257	eV/atom
# ΔE to the lowest computed polymorph	240	kJ/mol of formula units
# total magnetic moment	0.249	μB/f.u.
data_Ti3CrMo
_chemical_formula_sum 'Ti3 Cr1 Mo1'
_cell_length_a 4.6356
_cell_length_b 4.6356
_cell_length_c 4.6356
_cell_angle_alpha 90.00
_cell_angle_beta 90.00
_cell_angle_gamma 90.00
_symmetry_space_group_name_H-M 'P m -3 m'
_symmetry_Int_Tables_number 221
_symmetry_space_group_name_Hall '-P 4 2 3'
loop_
_atom_site_label
_atom_site_type_symbol
_atom_site_fract_x
_atom_site_fract_y
_atom_site_fract_z
_atom_site_occupancy
Ti1 Ti 0.0000 0.0000 0.5000 1
Cr1 Cr 0.5000 0.5000 0.5000 1
Mo1 Mo 0.0000 0.0000 0.0000 1



# LiNbS2 GGA-PBE relaxed
# formation energy from raw total energies	-110.8	kJ/mol of atoms
# total magnetic moment	0.000	μB/f.u.
data_LiNbS2
_chemical_formula_sum 'Li2 Nb2 S4'
_cell_length_a 5.2759
_cell_length_b 3.3831
_cell_length_c 7.5370
_cell_angle_alpha 90.00
_cell_angle_beta 93.37
_cell_angle_gamma 90.00
_symmetry_space_group_name_H-M 'P 1 21/m 1'
_symmetry_Int_Tables_number 11
loop_
_symmetry_equiv_pos_as_xyz
'x,y,z'
'-x,-y,-z'
'-x,y+1/2,-z'
'x,-y+1/2,z'
loop_
_atom_site_label
_atom_site_type_symbol
_atom_site_fract_x
_atom_site_fract_y
_atom_site_fract_z
_atom_site_occupancy
Li1 Li 0.2460 0.2500 0.1009 1
Nb1 Nb 0.1800 0.2500 0.6051 1
S1 S 0.2401 0.7500 0.8514 1
S2 S 0.2917 0.7500 0.3761 1



# Cr2InP GGA-PBE relaxed
# energy relative to the elements	0.026	eV/atom
# ΔE to the lowest computed polymorph	0	kJ/mol of formula units
# total magnetic moment	0.901	μB/f.u.
data_Cr2InP
_chemical_formula_sum 'Cr2 In1 P1'
_cell_length_a 2.9267
_cell_length_b 2.9267
_cell_length_c 6.6756
_cell_angle_alpha 90.00
_cell_angle_beta 90.00
_cell_angle_gamma 90.00
_symmetry_space_group_name_H-M 'P 4/m m m'
_symmetry_Int_Tables_number 123
_symmetry_space_group_name_Hall '-P 4 2'
loop_
_atom_site_label
_atom_site_type_symbol
_atom_site_fract_x
_atom_site_fract_y
_atom_site_fract_z
_atom_site_occupancy
Cr1 Cr 0.0000 0.0000 0.1783 1
In1 In 0.5000 0.5000 0.5000 1
P1 P 0.5000 0.5000 0.0000 1



# Ac3IrPb GGA-PBE relaxed
# energy relative to the elements	-0.601	eV/atom
# ΔE to the lowest computed polymorph	0	kJ/mol of formula units
# total magnetic moment	0.000	μB/f.u.
data_Ac3IrPb
_chemical_formula_sum 'Ac12 Ir4 Pb4'
_cell_length_a 9.3376
_cell_length_b 4.7279
_cell_length_c 16.2135
_cell_angle_alpha 90.00
_cell_angle_beta 90.00
_cell_angle_gamma 90.00
_symmetry_space_group_name_H-M 'P n m a'
_symmetry_Int_Tables_number 62
loop_
_symmetry_equiv_pos_as_xyz
'x,y,z'
'-x,-y,-z'
'-x+1/2,-y,z+1/2'
'x+1/2,y,-z+1/2'
'x+1/2,-y+1/2,-z+1/2'
'-x+1/2,y+1/2,z+1/2'
'-x,y+1/2,-z'
'x,-y+1/2,z'
loop_
_atom_site_label
_atom_site_type_symbol
_atom_site_fract_x
_atom_site_fract_y
_atom_site_fract_z
_atom_site_occupancy
Ac1 Ac 0.0243 0.2500 0.1074 1
Ac2 Ac 0.1596 0.2500 0.5044 1
Ac3 Ac 0.1938 0.7500 0.2881 1
Ir1 Ir 0.1638 0.2500 0.9417 1
Pb1 Pb 0.0859 0.7500 0.6732 1



# Er3ThSc GGA-PBE relaxed
# energy relative to the elements	0.046	eV/atom
# ΔE to the lowest computed polymorph	0	kJ/mol of formula units
# total magnetic moment	0.000	μB/f.u.
data_Er3ThSc
_chemical_formula_sum 'Er12 Th4 Sc4'
_cell_length_a 16.3798
_cell_length_b 5.3093
_cell_length_c 6.8356
_cell_angle_alpha 90.00
_cell_angle_beta 90.44
_cell_angle_gamma 90.00
_symmetry_space_group_name_H-M 'C 1 2/m 1'
_symmetry_Int_Tables_number 12
loop_
_symmetry_equiv_pos_as_xyz
'x,y,z'
'-x,-y,-z'
'-x,y,-z'
'x,-y,z'
'x+1/2,y+1/2,z'
'-x+1/2,-y+1/2,-z'
'-x+1/2,y+1/2,-z'
'x+1/2,-y+1/2,z'
loop_
_atom_site_label
_atom_site_type_symbol
_atom_site_fract_x
_atom_site_fract_y
_atom_site_fract_z
_atom_site_occupancy
Er1 Er 0.0019 0.0000 0.2458 1
Er2 Er 0.1137 0.5000 0.4960 1
Er3 Er 0.2016 0.0000 0.7471 1
Th1 Th 0.1062 0.5000 0.9967 1
Sc1 Sc 0.1994 0.0000 0.2436 1



# Y2TmZr GGA-PBE relaxed
# energy relative to the elements	0.077	eV/atom
# ΔE to the lowest computed polymorph	0	kJ/mol of formula units
# total magnetic moment	0.000	μB/f.u.
data_Y2TmZr
_chemical_formula_sum 'Y6 Tm3 Zr3'
_cell_length_a 3.4721
_cell_length_b 3.4721
_cell_length_c 33.4668
_cell_angle_alpha 90.00
_cell_angle_beta 90.00
_cell_angle_gamma 120.00
_symmetry_space_group_name_H-M 'R 3 m'
_symmetry_Int_Tables_number 160
_symmetry_space_group_name_Hall 'R 3 -2"'
loop_
_atom_site_label
_atom_site_type_symbol
_atom_site_fract_x
_atom_site_fract_y
_atom_site_fract_z
_atom_site_occupancy
Y1 Y 0.0000 0.0000 0.0000 1
Y2 Y 0.0000 0.0000 0.1581 1
Tm1 Tm 0.0000 0.0000 0.5787 1
Zr1 Zr 0.0000 0.0000 0.4129 1



# Ac2PrThP4 GGA-PBE relaxed
# energy relative to the elements	-1.511	eV/atom
# total magnetic moment	0.000	μB/f.u.
data_Ac2PrThP4
_chemical_formula_sum 'Ac2 Pr1 Th1 P4'
_cell_length_a 7.4295
_cell_length_b 4.2939
_cell_length_c 7.4810
_cell_angle_alpha 90.00
_cell_angle_beta 109.30
_cell_angle_gamma 90.00
_symmetry_space_group_name_H-M 'P 1 2/m 1'
_symmetry_Int_Tables_number 10
loop_
_symmetry_equiv_pos_as_xyz
'x,y,z'
'-x,-y,-z'
'-x,y,-z'
'x,-y,z'
loop_
_atom_site_label
_atom_site_type_symbol
_atom_site_fract_x
_atom_site_fract_y
_atom_site_fract_z
_atom_site_occupancy
Ac1 Ac 0.0000 0.0000 0.0000 1
Ac2 Ac 0.5000 0.5000 0.0000 1
Pr1 Pr 0.0000 0.5000 0.5000 1
Th1 Th 0.5000 0.0000 0.5000 1
P1 P 0.2498 0.0000 0.7343 1
P2 P 0.2603 0.5000 0.2684 1



# NpBeGe2 GGA-PBE relaxed
# energy relative to the elements	0.066	eV/atom
# ΔE to the lowest computed polymorph	25	kJ/mol of formula units
# total magnetic moment	4.144	μB/f.u.
data_NpBeGe2
_chemical_formula_sum 'Np3 Be3 Ge6'
_cell_length_a 4.0992
_cell_length_b 4.0992
_cell_length_c 14.7890
_cell_angle_alpha 90.00
_cell_angle_beta 90.00
_cell_angle_gamma 120.00
_symmetry_space_group_name_H-M 'R -3 m'
_symmetry_Int_Tables_number 166
_symmetry_space_group_name_Hall '-R 3 2"'
loop_
_atom_site_label
_atom_site_type_symbol
_atom_site_fract_x
_atom_site_fract_y
_atom_site_fract_z
_atom_site_occupancy
Np1 Np 0.0000 0.0000 0.0000 1
Be1 Be 0.0000 0.0000 0.5000 1
Ge1 Ge 0.0000 0.0000 0.2165 1



# TcPCl4 GGA-PBE relaxed
# formation energy from raw total energies	125.9	kJ/mol of atoms
# total magnetic moment	4.086	μB/f.u.
data_TcPCl4
_chemical_formula_sum 'Tc4 P4 Cl16'
_cell_length_a 8.2067
_cell_length_b 8.2067
_cell_length_c 8.2067
_cell_angle_alpha 90.00
_cell_angle_beta 90.00
_cell_angle_gamma 90.00
_symmetry_space_group_name_H-M 'F -4 3 m'
_symmetry_Int_Tables_number 216
_symmetry_space_group_name_Hall 'F -4 2 3'
loop_
_atom_site_label
_atom_site_type_symbol
_atom_site_fract_x
_atom_site_fract_y
_atom_site_fract_z
_atom_site_occupancy
Tc1 Tc 0.0000 0.0000 0.0000 1
P1 P 0.2500 0.2500 0.2500 1
Cl1 Cl 0.1260 0.1260 0.6260 1



# MgZrIr2 GGA-PBE relaxed
# energy relative to the elements	-0.486	eV/atom
# total magnetic moment	0.000	μB/f.u.
data_MgZrIr2
_chemical_formula_sum 'Mg2 Zr2 Ir4'
_cell_length_a 9.9452
_cell_length_b 3.0871
_cell_length_c 4.6408
_cell_angle_alpha 90.00
_cell_angle_beta 107.25
_cell_angle_gamma 90.00
_symmetry_space_group_name_H-M 'C 1 m 1'
_symmetry_Int_Tables_number 8
loop_
_symmetry_equiv_pos_as_xyz
'x,y,z'
'x,-y,z'
'x+1/2,y+1/2,z'
'x+1/2,-y+1/2,z'
loop_
_atom_site_label
_atom_site_type_symbol
_atom_site_fract_x
_atom_site_fract_y
_atom_site_fract_z
_atom_site_occupancy
Mg1 Mg 0.0000 0.0000 0.0000 1
Zr1 Zr 0.2240 0.0000 0.6298 1
Ir1 Ir 0.2419 0.5000 0.1315 1
Ir2 Ir 0.4809 0.0000 0.4931 1



# AlTl2Au GGA-PBE relaxed
# energy relative to the elements	0.052	eV/atom
# ΔE to the lowest computed polymorph	41	kJ/mol of formula units
# total magnetic moment	0.000	μB/f.u.
data_AlTl2Au
_chemical_formula_sum 'Al2 Tl4 Au2'
_cell_length_a 3.5550
_cell_length_b 5.5535
_cell_length_c 10.0790
_cell_angle_alpha 90.00
_cell_angle_beta 90.00
_cell_angle_gamma 90.00
_symmetry_space_group_name_H-M 'I m m 2'
_symmetry_Int_Tables_number 44
loop_
_symmetry_equiv_pos_as_xyz
'x,y,z'
'-x,-y,z'
'-x,y,z'
'x,-y,z'
'x+1/2,y+1/2,z+1/2'
'-x+1/2,-y+1/2,z+1/2'
'-x+1/2,y+1/2,z+1/2'
'x+1/2,-y+1/2,z+1/2'
loop_
_atom_site_label
_atom_site_type_symbol
_atom_site_fract_x
_atom_site_fract_y
_atom_site_fract_z
_atom_site_occupancy
Al1 Al 0.0000 0.0000 0.0000 1
Tl1 Tl 0.0000 0.0000 0.4410 1
Tl2 Tl 0.0000 0.5000 0.2370 1
Au1 Au 0.0000 0.5000 0.6795 1